Computed, not measured: crystalline Sm6IrRh2Br3 at its relaxed geometry at the GGA-PBE level of DFT.

```
Sm6IrRh2Br3
1.0
-4.2455 2.8278 -4.9127
6.0151 -3.1992 -1.9335
-4.3711 -6.6151 1.6715
Sm Ir Rh Br
6 1 2 3
Direct
0.9351 0.6024 0.8054
0.7322 0.7322 0.1947
0.0649 0.3976 0.1946
0.6024 0.9351 0.8054
0.2678 0.2678 0.8053
0.3976 0.0649 0.1946
0.0000 0.0000 0.0000
0.3334 0.6666 0.0000
0.6666 0.3334 0.0000
0.1665 0.8335 0.5000
0.8335 0.1665 0.5000
0.5000 0.5000 0.5000
```

Properties
density	7.6	g cm⁻³
raw formation energy	-1093	meV per atom

Computed, not measured: crystalline SrIr2RhBr at its relaxed geometry at the GGA-PBE level of DFT.

```
SrIr2RhBr
1.0
4.7597 0.0000 0.0000
0.0000 4.7226 0.0000
0.0000 0.0000 4.7597
Sr Ir Rh Br
1 2 1 1
Direct
0.5000 0.5000 0.5000
0.0000 0.0000 0.5000
0.5000 0.0000 0.0000
0.0000 0.5000 0.0000
0.0000 0.0000 0.0000
```

Properties
density	10.2	g cm⁻³
raw formation energy	853	meV per atom

Computed, not measured: crystalline Te2IrRhBr at its relaxed geometry at the GGA-PBE level of DFT.

```
Te2IrRhBr
1.0
-5.0889 -1.5859 0.8405
-0.6502 -0.2715 -4.4491
1.6170 -5.1475 0.0779
Rh Ir Te Br
1 1 2 1
Direct
0.0000 0.5000 0.0000
0.5000 0.5000 0.5000
0.0000 0.0000 0.5000
0.5000 0.0000 0.0000
0.0000 0.0000 0.0000
```

Properties
density	8.0	g cm⁻³
raw formation energy	1720	meV per atom

Repeat the first record exactly.
Computed, not measured: crystalline Sm6IrRh2Br3 at its relaxed geometry at the GGA-PBE level of DFT.

```
Sm6IrRh2Br3
1.0
-4.2455 2.8278 -4.9127
6.0151 -3.1992 -1.9335
-4.3711 -6.6151 1.6715
Sm Ir Rh Br
6 1 2 3
Direct
0.9351 0.6024 0.8054
0.7322 0.7322 0.1947
0.0649 0.3976 0.1946
0.6024 0.9351 0.8054
0.2678 0.2678 0.8053
0.3976 0.0649 0.1946
0.0000 0.0000 0.0000
0.3334 0.6666 0.0000
0.6666 0.3334 0.0000
0.1665 0.8335 0.5000
0.8335 0.1665 0.5000
0.5000 0.5000 0.5000
```

Properties
density	7.6	g cm⁻³
raw formation energy	-1093	meV per atom

What did the third record say?
Computed, not measured: crystalline Te2IrRhBr at its relaxed geometry at the GGA-PBE level of DFT.

```
Te2IrRhBr
1.0
-5.0889 -1.5859 0.8405
-0.6502 -0.2715 -4.4491
1.6170 -5.1475 0.0779
Rh Ir Te Br
1 1 2 1
Direct
0.0000 0.5000 0.0000
0.5000 0.5000 0.5000
0.0000 0.0000 0.5000
0.5000 0.0000 0.0000
0.0000 0.0000 0.0000
```

Properties
density	8.0	g cm⁻³
raw formation energy	1720	meV per atom